Entry from the Alexandria database: CoRuO2 after structural relaxation (PBE+U).

a b c (Å): 5.4169 5.4169 5.4169
angles (deg): 90.00 90.00 90.00
Closest atoms and distances in Å follow each position.
Element x y z (fractional)
Co (0.0000, 0.0000, 0.0000)  8 O 2.35
Co (0.0000, 0.5000, 0.5000)  8 O 2.35
Co (0.5000, 0.0000, 0.5000)  8 O 2.35
Co (0.5000, 0.5000, 0.0000)  8 O 2.35
Ru (0.0000, 0.0000, 0.5000)  8 O 2.35
Ru (0.0000, 0.5000, 0.0000)  8 O 2.35
Ru (0.5000, 0.0000, 0.0000)  8 O 2.35
Ru (0.5000, 0.5000, 0.5000)  8 O 2.35
O (0.2500, 0.2500, 0.2500)  4 Co 2.35, 4 Ru 2.35
O (0.2500, 0.2500, 0.7500)  4 Co 2.35, 4 Ru 2.35
O (0.2500, 0.7500, 0.2500)  4 Co 2.35, 4 Ru 2.35
O (0.2500, 0.7500, 0.7500)  4 Co 2.35, 4 Ru 2.35
O (0.7500, 0.2500, 0.2500)  4 Co 2.35, 4 Ru 2.35
O (0.7500, 0.2500, 0.7500)  4 Co 2.35, 4 Ru 2.35
O (0.7500, 0.7500, 0.2500)  4 Co 2.35, 4 Ru 2.35
O (0.7500, 0.7500, 0.7500)  4 Co 2.35, 4 Ru 2.35

**N(E_F)**: 0.786 states/eV/atom
**Raw total energy**: -95.95 eV/cell
**Space group**: Fm-3m